The following is a PBE-GGA calculation of an optimized crystal structure of ErZrBi, from Alexandria via LeMat-Bulk.

Computed properties:
Raw total energy (hartree per atom): -0.2186
Energy relative to the elements (meV per atom): -283.3
Spin magnetization (μB/atom): 0.00

Geometry as CIF:
```
data_ErZrBi
_chemical_formula_sum 'Er16 Zr16 Bi16'
_space_group_name_H-M_alt 'F d d 2'
_space_group_IT_number 43
_space_group_name_Hall 'F 2 -2d'
_cell_length_a 11.091
_cell_length_b 12.391
_cell_length_c 9.546
_cell_angle_alpha 90.00
_cell_angle_beta 90.00
_cell_angle_gamma 90.00
loop_
_atom_site_label
_atom_site_type_symbol
_atom_site_fract_x
_atom_site_fract_y
_atom_site_fract_z
Er1 Er 0.115 0.172 0.000
Zr1 Zr 0.118 0.196 0.657
Bi1 Bi 0.085 0.185 0.336
```